Computed, not measured: AsH4I3 after structural relaxation at the PBE level of DFT.

**E**: -2.6812 eV per atom
**V**: 23.2 A^3/atom
**Total magnetization**: 0.00 μB/f.u.
**Theoretical density**: 4.1 g/cm3

Cell lengths 6.6809, 6.6809, 6.6809 Å; angles 82.99, 134.82, 114.66 degrees
With the nearest neighbours (Å) after each atom.
Sites, in units of the cell vectors:
1 H 0.1776 0.6235 0.8010  1 As 1.55
2 As 0.9962 0.5000 0.4962  4 H 1.52-1.55
3 I 0.5517 0.7842 0.3358  1 H 2.50
4 I 0.5517 0.2158 0.7675  1 H 2.50
5 H 0.0002 0.6727 0.3275  1 As 1.52
6 I 0.0413 0.0000 0.0413  2 H 2.78
7 H 0.1776 0.3765 0.5541  1 As 1.55
8 H 0.6548 0.3273 0.3275  1 As 1.52

***

Computed, not measured: AsHI3 after structural relaxation at the PBE level of DFT.

**E**: -2.0651 eV per atom
**E above lowest polymorph**: 0.426 eV per atom
**V**: 37.7 A^3/atom
**Total magnetization**: 1.00 μB/f.u.
**Theoretical density**: 4.0 g/cm3

Cell lengths 5.7313, 5.7313, 5.7313 Å; angles 90.00, 90.00, 90.00 degrees
With the nearest neighbours (Å) after each atom.
Sites, in units of the cell vectors:
1 As 0.0000 0.0000 0.0000  6 I 2.87
2 I 0.5000 0.0000 0.0000  2 As 2.87
3 I 0.0000 0.0000 0.5000  2 As 2.87
4 I 0.0000 0.5000 0.0000  2 As 2.87
5 H 0.5000 0.5000 0.5000  12 I 4.05

***

Computed, not measured: AsH3I3 after structural relaxation at the PBE level of DFT.

**E**: -2.6602 eV per atom
**V**: 30.6 A^3/atom
**Total magnetization**: 0.00 μB/f.u.
**Theoretical density**: 3.6 g/cm3

Cell lengths 8.9082, 8.9082, 6.0548 Å; angles 95.42, 95.42, 115.07 degrees
With the nearest neighbours (Å) after each atom.
Sites, in units of the cell vectors:
1 H 0.4413 0.2886 0.1896  1 As 1.53
2 As 0.7370 0.7370 0.7855  3 H 1.53-1.59
3 H 0.8256 0.8256 0.0344  1 As 1.59
4 H 0.5587 0.7114 0.8104  1 As 1.53
5 I 0.7839 0.2161 0.0000  2 I 3.09
6 H 0.2886 0.4413 0.1896  1 As 1.53
7 I 0.7628 0.7628 0.3420  1 H 2.05
8 I 0.7420 0.2580 0.5000  2 I 3.09, 2 H 3.25
9 As 0.2630 0.2630 0.2145  3 H 1.53-1.59
10 I 0.2161 0.7839 0.0000  2 I 3.09
11 I 0.2372 0.2372 0.6580  1 H 2.05
12 H 0.1744 0.1744 0.9656  1 As 1.59
13 I 0.2580 0.7420 0.5000  2 I 3.09, 2 H 3.25
14 H 0.7114 0.5587 0.8104  1 As 1.53

***

Computed, not measured: AsHI after structural relaxation at the PBE level of DFT.

**E**: -3.1725 eV per atom
**E above lowest polymorph**: 0.000 eV per atom
**V**: 40.7 A^3/atom
**Total magnetization**: 0.00 μB/f.u.
**Theoretical density**: 2.8 g/cm3

Cell lengths 5.5065, 5.0039, 8.8695 Å; angles 92.49, 90.00, 90.00 degrees
With the nearest neighbours (Å) after each atom.
Sites, in units of the cell vectors:
1 As 0.5000 0.5176 0.8601  1 H 1.54
2 H 0.5000 0.2110 0.8345  1 As 1.54
3 As 0.5000 0.4824 0.1399  1 H 1.54
4 I 0.0000 0.5732 0.7811  2 As 2.86
5 H 0.5000 0.7890 0.1655  1 As 1.54
6 I 0.0000 0.4268 0.2189  2 As 2.86

***

Computed, not measured: As2HI6 after structural relaxation at the PBE level of DFT.

**E**: -2.4526 eV per atom
**V**: 49.3 A^3/atom
**Total magnetization**: 0.00 μB/f.u.
**Theoretical density**: 3.4 g/cm3

Cell lengths 11.5196, 9.2065, 9.2065 Å; angles 90.51, 72.90, 72.90 degrees
With the nearest neighbours (Å) after each atom.
Sites, in units of the cell vectors:
1 H 0.7500 0.7595 0.2404  2 I 1.93
2 I 0.8346 0.8609 0.3408  1 H 1.93
3 I 0.2045 0.7995 0.9346  1 As 2.63
4 As 0.3076 0.5875 0.7002  2 I 2.63-2.71
5 I 0.2955 0.0654 0.2005  1 As 2.63
6 I 0.3346 0.3408 0.8609  1 H 1.93
7 H 0.2500 0.2404 0.7595  2 I 1.93
8 I 0.9360 0.3779 0.3672  3 As 2.98-3.26
9 I 0.6654 0.6592 0.1391  1 H 1.93
10 I 0.1654 0.1391 0.6592  1 H 1.93
11 As 0.6924 0.4125 0.2998  2 I 2.63-2.71
12 As 0.1924 0.2998 0.4125  2 I 2.63-2.71
13 I 0.7955 0.2005 0.0654  1 As 2.63
14 As 0.8076 0.7002 0.5875  2 I 2.63-2.71
15 I 0.5640 0.6328 0.6221  3 As 2.98-3.26
16 I 0.7045 0.9346 0.7995  1 As 2.63
17 I 0.4360 0.3672 0.3779  3 As 2.98-3.26
18 I 0.0640 0.6221 0.6328  3 As 2.98-3.26

***

Computed, not measured: As3HI after structural relaxation at the PBE level of DFT.

**E**: -2.0281 eV per atom
**E above lowest polymorph**: 0.868 eV per atom
**V**: 33.0 A^3/atom
**Total magnetization**: 0.52 μB/f.u.
**Theoretical density**: 3.5 g/cm3

Cell lengths 5.4848, 5.4848, 5.4848 Å; angles 90.00, 90.00, 90.00 degrees
With the nearest neighbours (Å) after each atom.
Sites, in units of the cell vectors:
1 I 0.0000 0.0000 0.0000  6 As 2.74
2 As 0.0000 0.5000 0.0000  2 I 2.74
3 H 0.5000 0.5000 0.5000  12 As 3.88
4 As 0.0000 0.0000 0.5000  2 I 2.74
5 As 0.5000 0.0000 0.0000  2 I 2.74

***

Computed, not measured: AsH2I after structural relaxation at the PBE level of DFT.

**E**: -2.8875 eV per atom
**E above lowest polymorph**: 0.000 eV per atom
**V**: 17.2 A^3/atom
**Total magnetization**: 0.00 μB/f.u.
**Theoretical density**: 4.9 g/cm3

Cell lengths 5.8360, 5.8360, 5.7740 Å; angles 59.64, 59.64, 90.00 degrees
With the nearest neighbours (Å) after each atom.
Sites, in units of the cell vectors:
1 H 0.3749 0.6250 0.2500  2 As 1.77
2 H 0.8750 0.6251 0.7500  2 As 1.77
3 As 0.5000 0.5000 0.0000  4 H 1.77
4 H 0.3751 0.1250 0.2500  2 As 1.77
5 I 0.0000 0.0000 0.0000  12 H 3.36-3.42, 4 As 3.55, 4 I 3.55
6 I 0.7500 0.2500 0.5000  12 H 3.36-3.42, 4 As 3.55, 4 I 3.55
7 As 0.2500 0.7500 0.5000  4 H 1.77
8 H 0.3750 0.6249 0.7500  2 As 1.77

***

Computed, not measured: AsH2I3 after structural relaxation at the PBE level of DFT.

**E**: -2.5465 eV per atom
**E above lowest polymorph**: 0.099 eV per atom
**V**: 31.1 A^3/atom
**Total magnetization**: 0.00 μB/f.u.
**Theoretical density**: 4.1 g/cm3

Cell lengths 3.6064, 12.0574, 9.4456 Å; angles 68.15, 78.99, 81.40 degrees
With the nearest neighbours (Å) after each atom.
Sites, in units of the cell vectors:
1 I 0.8524 0.7729 0.5224  4 I 3.23-3.61, 3 H 3.45-3.58
2 I 0.3083 0.3172 0.0662  1 As 2.57
3 I 0.9533 0.9342 0.1592  1 I 2.81
4 H 0.8906 0.4611 0.7578  2 As 1.82
5 As 0.3927 0.4388 0.7757  1 H 1.54
6 H 0.1094 0.5389 0.2422  2 As 1.82
7 I 0.0467 0.0658 0.8408  1 I 2.81
8 I 0.1476 0.2271 0.4776  4 I 3.23-3.61, 3 H 3.45-3.58
9 As 0.6073 0.5612 0.2243  1 H 1.54
10 I 0.6917 0.6828 0.9338  1 As 2.57
11 H 0.5266 0.6707 0.2762  1 As 1.54
12 H 0.4734 0.3293 0.7238  1 As 1.54

***

Computed, not measured: AsH2I after structural relaxation at the PBE level of DFT.

**E**: -2.8181 eV per atom
**E above lowest polymorph**: 0.069 eV per atom
**V**: 19.6 A^3/atom
**Total magnetization**: 0.00 μB/f.u.
**Theoretical density**: 4.3 g/cm3

Cell lengths 6.3172, 5.2641, 5.3966 Å; angles 119.18, 90.09, 90.00 degrees
With the nearest neighbours (Å) after each atom.
Sites, in units of the cell vectors:
1 As 0.2822 0.4540 0.2282  2 H 1.64
2 I 0.5271 0.7041 0.7284  2 As 2.82, 6 H 3.03-3.13
3 H 0.5191 0.0250 0.3709  1 As 1.64
4 H 0.5188 0.3828 0.0856  1 As 1.64
5 H 0.0445 0.5237 0.3682  1 As 1.64
6 I 0.0384 0.2033 0.7272  2 As 2.81-2.82, 6 H 3.02-3.13
7 H 0.0447 0.8831 0.0863  1 As 1.64
8 As 0.2822 0.9539 0.2280  2 H 1.64

***

Computed, not measured: As2H4I5 after structural relaxation at the PBE level of DFT.

**E**: -2.7242 eV per atom
**V**: 33.9 A^3/atom
**Total magnetization**: 0.08 μB/f.u.
**Theoretical density**: 3.5 g/cm3

Cell lengths 4.3428, 8.5097, 10.3184 Å; angles 90.39, 102.15, 90.00 degrees
With the nearest neighbours (Å) after each atom.
Sites, in units of the cell vectors:
1 As 0.3556 0.3818 0.7111  1 H 1.54
2 H 0.0198 0.9930 0.0396  1 H 0.81
3 I 0.8128 0.1737 0.6255  2 As 2.93, 2 H 3.24
4 I 0.5000 0.0000 0.0000  4 H 2.21
5 As 0.6444 0.6182 0.2889  1 H 1.54
6 I 0.1872 0.8263 0.3745  2 As 2.93, 2 H 3.24
7 H 0.7156 0.5530 0.4312  1 As 1.54
8 H 0.2844 0.4470 0.5688  1 As 1.54
9 I 0.8844 0.6029 0.7688  2 As 2.93, 2 H 3.24
10 H 0.9802 0.0070 0.9604  1 H 0.81
11 I 0.1156 0.3971 0.2312  2 As 2.93, 2 H 3.24

***

Computed, not measured: AsHI3 after structural relaxation at the PBE level of DFT.

**E**: -2.4897 eV per atom
**E above lowest polymorph**: 0.001 eV per atom
**V**: 41.3 A^3/atom
**Total magnetization**: 0.00 μB/f.u.
**Theoretical density**: 3.7 g/cm3

Cell lengths 8.8422, 8.4253, 13.5548 Å; angles 125.02, 90.00, 90.00 degrees
With the nearest neighbours (Å) after each atom.
Sites, in units of the cell vectors:
1 I 0.4023 0.7947 0.0045  1 As 2.52
2 I 0.6278 0.2356 0.3389  1 As 2.65
3 I 0.8722 0.7356 0.8389  1 As 2.65
4 As 0.2396 0.4997 0.4544  2 I 2.52-2.65
5 As 0.7604 0.5003 0.5456  2 I 2.52-2.65
6 I 0.9023 0.7053 0.4955  1 As 2.52
7 I 0.3806 0.7372 0.3094  1 H 1.64
8 I 0.5977 0.2053 0.9955  1 As 2.52
9 I 0.1278 0.2644 0.1611  1 As 2.65
10 I 0.6194 0.2628 0.6906  1 H 1.64
11 As 0.7396 0.0003 0.0456  2 I 2.52-2.65
12 H 0.0250 0.4408 0.8693  1 I 1.64
13 As 0.2604 0.9997 0.9544  2 I 2.52-2.65
14 H 0.4750 0.9408 0.3693  1 I 1.64
15 I 0.1194 0.2372 0.8094  1 H 1.64
16 I 0.8806 0.7628 0.1906  1 H 1.64
17 I 0.0977 0.2947 0.5045  1 As 2.52
18 I 0.3722 0.7644 0.6611  1 As 2.65
19 H 0.5250 0.0592 0.6307  1 I 1.64
20 H 0.9750 0.5592 0.1307  1 I 1.64

***

Computed, not measured: AsHI after structural relaxation at the PBE level of DFT.

**E**: -3.0814 eV per atom
**E above lowest polymorph**: 0.091 eV per atom
**V**: 26.5 A^3/atom
**Total magnetization**: 0.00 μB/f.u.
**Theoretical density**: 4.2 g/cm3

Cell lengths 4.7487, 4.7655, 12.7317 Å; angles 81.63, 93.36, 35.91 degrees
With the nearest neighbours (Å) after each atom.
Sites, in units of the cell vectors:
1 As 0.8110 0.5884 0.9023  1 H 1.54
2 As 0.1890 0.4116 0.0977  1 H 1.54
3 H 0.1106 0.1773 0.1542  1 As 1.54
4 I 0.3297 0.8393 0.6523  2 I 2.93, 1 As 3.22
5 H 0.8894 0.8227 0.8458  1 As 1.54
6 I 0.6703 0.1607 0.3477  2 I 2.93, 1 As 3.22